VASP calculation (GGA-PBE) on an optimized crystal structure of SrCaTa2.

The formation energy comes out at 1009.4 meV/atom. The calculation puts the spin magnetization at 0.00 μB per cell.

Lattice parameters (Å, degrees): 3.5956 4.7587 11.4082 90.00 90.00 90.00
Closest atoms and distances in Å follow each position.
Space group Immm (No. 71)
Symmetry-distinct sites (fractional):
1 Sr 0.0000 0.0000 0.0000  4 Ca 2.98
2 Ca 0.0000 0.0000 0.5000  4 Sr 2.98, 4 Ta 3.33
3 Ta 0.0000 0.5000 0.2455  4 Ta 2.98, 2 Ca 3.33

VASP calculation (GGA-PBE) on an optimized crystal structure of HfAl2Ag.

The formation energy comes out at -24.5 meV/atom. The calculation puts the spin magnetization at 0.00 μB per cell.

Lattice parameters (Å, degrees): 6.5918 6.5918 6.5918 90.00 90.00 90.00
Closest atoms and distances in Å follow each position.
Space group Fm-3m (No. 225)
Symmetry-distinct sites (fractional):
1 Hf 0.0000 0.0000 0.0000  8 Al 2.85
2 Al 0.2500 0.2500 0.2500  4 Hf 2.85, 4 Ag 2.85
3 Ag 0.0000 0.0000 0.5000  8 Al 2.85

VASP calculation (GGA-PBE) on an optimized crystal structure of Re3Ag.

The formation energy comes out at 444.3 meV/atom. The calculation puts the spin magnetization at 0.00 μB per cell.

Lattice parameters (Å, degrees): 4.4907 5.6004 4.8554 90.00 90.00 90.00
Closest atoms and distances in Å follow each position.
Space group Pmmn (No. 59, origin choice 2)
Symmetry-distinct sites (fractional):
1 Re 0.2500 0.0010 0.1665  8 Re 2.74-2.87, 4 Ag 2.78-2.82
2 Re 0.2500 0.7500 0.6813  8 Re 2.74-2.87, 4 Ag 2.80
3 Ag 0.2500 0.2500 0.6616  12 Re 2.78-2.82

VASP calculation (GGA-PBE) on an optimized crystal structure of NpZn4Sb.

The calculation puts the spin magnetization at 17.47 μB per cell. For the uncorrected formation energy, the calculation gives 0.137 eV per atom.

Lattice parameters (Å, degrees): 7.7577 7.7577 7.7577 90.00 90.00 90.00
Closest atoms and distances in Å follow each position.
Space group F-43m (No. 216)
Symmetry-distinct sites (fractional):
1 Np 0.0000 0.0000 0.0000  12 Zn 3.22, 4 Sb 3.36
2 Zn 0.1250 0.1250 0.3750  6 Zn 2.74
3 Sb 0.2500 0.2500 0.7500  12 Zn 3.22, 4 Np 3.36